{
  "formula": "Gd3GaO6",
  "functional": "PBE",
  "state": "relaxed",
  "cell": [[7.263, 0.000, 0.000], [-1.616, 7.081, 0.000], [0.000, 0.000, 5.515]],
  "species": ["Gd", "Gd", "Gd", "Gd", "Gd", "Gd", "Ga", "Ga", "O", "O", "O", "O", "O", "O", "O", "O", "O", "O", "O", "O"],
  "frac_coords": [[0.397, 0.603, 0.923], [0.603, 0.397, 0.423], [0.299, 0.087, 0.968], [0.701, 0.913, 0.468], [0.913, 0.701, 0.968], [0.087, 0.299, 0.468], [0.193, 0.807, 0.500], [0.807, 0.193, 0.000], [0.215, 0.785, 0.166], [0.785, 0.215, 0.666], [0.040, 0.960, 0.639], [0.960, 0.040, 0.139], [0.355, 0.325, 0.697], [0.645, 0.675, 0.197], [0.675, 0.645, 0.697], [0.325, 0.355, 0.197], [0.894, 0.420, 0.175], [0.106, 0.580, 0.675], [0.580, 0.106, 0.175], [0.420, 0.894, 0.675]],
  "space_group": "Cmc2_1 (36)",
  "crystal_system": "orthorhombic",
  "n_ef_per_ev_atom": 0.00,
  "formation_energy_uncorrected_ev_per_atom": -3.0936,
  "vol_a3_per_atom": 14.2
}